1.
Y2MnFeC | PBE | optimized geometry

Lattice parameters (Å, degrees): 4.9930 4.9930 3.6665 90.00 90.00 90.00
Closest atoms and distances in Å follow each position.
Positions (direct):
1 Y 0.0000 0.5000 0.0000  2 C 2.50
2 Y 0.5000 0.0000 0.0000  2 C 2.50
3 Mn 0.0000 0.0000 0.5000  8 Y 3.10
4 Fe 0.5000 0.5000 0.5000  2 C 1.83
5 C 0.5000 0.5000 0.0000  2 Fe 1.83

Properties
Energy above the most stable polymorph in this dataset: 0.000 eV per atom
Formation enthalpy at 0 K: -62 meV per atom



2.
Y2MnFeC | PBE | optimized geometry

Lattice parameters (Å, degrees): 4.9592 4.9592 3.7355 90.00 90.00 90.00
Closest atoms and distances in Å follow each position.
Positions (direct):
1 Y 0.0000 0.5000 0.0000  2 C 2.48
2 Y 0.5000 0.0000 0.0000  2 C 2.48
3 Mn 0.0000 0.0000 0.5000  2 C 1.87
4 Fe 0.5000 0.5000 0.5000  8 Y 3.10
5 C 0.0000 0.0000 0.0000  2 Mn 1.87

Properties
Energy above the most stable polymorph in this dataset: 0.065 eV per atom
Formation enthalpy at 0 K: 3 meV per atom



3.
ZrMn2FeC | PBE | optimized geometry

Lattice parameters (Å, degrees): 3.8897 3.8897 3.8805 90.00 90.00 90.00
Closest atoms and distances in Å follow each position.
Positions (direct):
1 Zr 0.0000 0.0000 0.0000  8 Mn 2.75, 4 Fe 2.75
2 Mn 0.0000 0.5000 0.5000  2 C 1.94
3 Mn 0.5000 0.0000 0.5000  2 C 1.94
4 Fe 0.5000 0.5000 0.0000  2 C 1.94
5 C 0.5000 0.5000 0.5000  2 Fe 1.94, 4 Mn 1.94

Properties
Formation enthalpy at 0 K: -149 meV per atom



4.
Fe2Mo3C | PBE | optimized geometry

Lattice parameters (Å, degrees): 6.7492 6.7492 6.7492 90.00 90.00 90.00
Closest atoms and distances in Å follow each position.
Positions (direct):
1 Fe 0.0697 0.0697 0.0697  3 Fe 2.50, 3 Mo 2.76
2 Fe 0.1803 0.8197 0.3197  3 Fe 2.50, 3 Mo 2.76
3 Fe 0.3197 0.1803 0.8197  3 Fe 2.50, 3 Mo 2.76
4 Fe 0.4303 0.9303 0.5697  3 Fe 2.50, 3 Mo 2.76
5 Fe 0.5697 0.4303 0.9303  3 Fe 2.50, 3 Mo 2.76
6 Fe 0.6803 0.6803 0.6803  3 Fe 2.50, 3 Mo 2.76
7 Fe 0.8197 0.3197 0.1803  3 Fe 2.50, 3 Mo 2.76
8 Fe 0.9303 0.5697 0.4303  3 Fe 2.50, 3 Mo 2.76
9 Mo 0.0476 0.8750 0.7024  2 C 2.12
10 Mo 0.1250 0.2024 0.4524  2 C 2.12
11 Mo 0.2024 0.4524 0.1250  2 C 2.12
12 Mo 0.2976 0.5476 0.6250  2 C 2.12
13 Mo 0.3750 0.7976 0.9524  2 C 2.12
14 Mo 0.4524 0.1250 0.2024  2 C 2.12
15 Mo 0.5476 0.6250 0.2976  2 C 2.12
16 Mo 0.6250 0.2976 0.5476  2 C 2.12
17 Mo 0.7024 0.0476 0.8750  2 C 2.12
18 Mo 0.7976 0.9524 0.3750  2 C 2.12
19 Mo 0.8750 0.7024 0.0476  2 C 2.12
20 Mo 0.9524 0.3750 0.7976  2 C 2.12
21 C 0.1250 0.6250 0.8750  6 Mo 2.12
22 C 0.3750 0.3750 0.3750  6 Mo 2.12
23 C 0.6250 0.8750 0.1250  6 Mo 2.12
24 C 0.8750 0.1250 0.6250  6 Mo 2.12

Properties
Formation enthalpy at 0 K: 21 meV per atom



5.
FeMo3C | PBE | optimized geometry

Lattice parameters (Å, degrees): 4.4117 4.4117 4.4117 90.00 90.00 90.00
Closest atoms and distances in Å follow each position.
Positions (direct):
1 Fe 0.0000 0.0000 0.0000  6 Mo 2.21
2 Mo 0.0000 0.0000 0.5000  2 Fe 2.21
3 Mo 0.0000 0.5000 0.0000  2 Fe 2.21
4 Mo 0.5000 0.0000 0.0000  2 Fe 2.21
5 C 0.5000 0.5000 0.5000  12 Mo 3.12

Properties
Energy above the most stable polymorph in this dataset: 2.036 eV per atom
Formation enthalpy at 0 K: 2341 meV per atom



6.
Fe2MoC | PBE | optimized geometry

Lattice parameters (Å, degrees): 5.3410 5.3410 5.3410 123.08 123.08 84.75
Closest atoms and distances in Å follow each position.
Positions (direct):
1 Fe 0.0326 0.6250 0.9076  2 C 1.80
2 Fe 0.3750 0.2826 0.4076  2 C 1.80
3 Fe 0.7174 0.1250 0.0924  2 C 1.80
4 Fe 0.8750 0.9674 0.5924  2 C 1.80
5 Mo 0.2500 0.7500 0.5000  4 Fe 2.37
6 Mo 0.5000 0.5000 0.0000  4 Fe 2.37
7 C 0.0000 0.0000 0.0000  4 Fe 1.80
8 C 0.7500 0.2500 0.5000  4 Fe 1.80

Properties
Formation enthalpy at 0 K: 727 meV per atom



7.
Fe21Mo2C6 | PBE | optimized geometry

Lattice parameters (Å, degrees): 7.4151 7.4151 7.4151 60.00 60.00 60.00
Closest atoms and distances in Å follow each position.
Positions (direct):
1 Fe 0.0000 0.0000 0.0000  12 Fe 2.52
2 Fe 0.0000 0.0000 0.3397  2 C 2.11
3 Fe 0.0000 0.0000 0.6603  2 C 2.11
4 Fe 0.0000 0.3397 0.0000  2 C 2.11
5 Fe 0.0000 0.3397 0.6603  2 C 2.11
6 Fe 0.0000 0.6603 0.0000  2 C 2.11
7 Fe 0.0000 0.6603 0.3397  2 C 2.11
8 Fe 0.1509 0.6164 0.6164  3 C 2.05
9 Fe 0.3397 0.0000 0.0000  2 C 2.11
10 Fe 0.3397 0.0000 0.6603  2 C 2.11
11 Fe 0.3397 0.6603 0.0000  2 C 2.11
12 Fe 0.3836 0.3836 0.3836  3 C 2.05
13 Fe 0.3836 0.3836 0.8491  3 C 2.05
14 Fe 0.3836 0.8491 0.3836  3 C 2.05
15 Fe 0.6164 0.1509 0.6164  3 C 2.05
16 Fe 0.6164 0.6164 0.1509  3 C 2.05
17 Fe 0.6164 0.6164 0.6164  3 C 2.05
18 Fe 0.6603 0.0000 0.0000  2 C 2.11
19 Fe 0.6603 0.0000 0.3397  2 C 2.11
20 Fe 0.6603 0.3397 0.0000  2 C 2.11
21 Fe 0.8491 0.3836 0.3836  3 C 2.05
22 Mo 0.2500 0.2500 0.2500  4 Fe 2.43
23 Mo 0.7500 0.7500 0.7500  4 Fe 2.43
24 C 0.2786 0.2786 0.7214  8 Fe 2.05-2.11
25 C 0.2786 0.7214 0.2786  8 Fe 2.05-2.11
26 C 0.2786 0.7214 0.7214  8 Fe 2.05-2.11
27 C 0.7214 0.2786 0.2786  8 Fe 2.05-2.11
28 C 0.7214 0.2786 0.7214  8 Fe 2.05-2.11
29 C 0.7214 0.7214 0.2786  8 Fe 2.05-2.11

Properties
Formation enthalpy at 0 K: 17 meV per atom



8.
Fe2Mo4C | PBE | optimized geometry

Lattice parameters (Å, degrees): 8.0334 8.0334 8.0334 60.00 60.00 60.00
Closest atoms and distances in Å follow each position.
Positions (direct):
1 Fe 0.1218 0.7927 0.7927  6 Mo 2.45-2.70, 3 Fe 2.64
2 Fe 0.2073 0.2073 0.2073  6 Mo 2.45-2.70, 3 Fe 2.64
3 Fe 0.2073 0.2073 0.8782  6 Mo 2.45-2.70, 3 Fe 2.64
4 Fe 0.2073 0.8782 0.2073  6 Mo 2.45-2.70, 3 Fe 2.64
5 Fe 0.7927 0.1218 0.7927  6 Mo 2.45-2.70, 3 Fe 2.64
6 Fe 0.7927 0.7927 0.1218  6 Mo 2.45-2.70, 3 Fe 2.64
7 Fe 0.7927 0.7927 0.7927  6 Mo 2.45-2.70, 3 Fe 2.64
8 Fe 0.8782 0.2073 0.2073  6 Mo 2.45-2.70, 3 Fe 2.64
9 Mo 0.0000 0.0000 0.0000  6 Fe 2.45
10 Mo 0.0000 0.0000 0.5000  6 Fe 2.45
11 Mo 0.0000 0.5000 0.0000  6 Fe 2.45
12 Mo 0.1869 0.1869 0.5631  2 C 2.13
13 Mo 0.1869 0.5631 0.1869  2 C 2.13
14 Mo 0.1869 0.5631 0.5631  2 C 2.13
15 Mo 0.4369 0.4369 0.8131  2 C 2.13
16 Mo 0.4369 0.8131 0.4369  2 C 2.13
17 Mo 0.4369 0.8131 0.8131  2 C 2.13
18 Mo 0.5000 0.0000 0.0000  6 Fe 2.45
19 Mo 0.5631 0.1869 0.1869  2 C 2.13
20 Mo 0.5631 0.1869 0.5631  2 C 2.13
21 Mo 0.5631 0.5631 0.1869  2 C 2.13
22 Mo 0.8131 0.4369 0.4369  2 C 2.13
23 Mo 0.8131 0.4369 0.8131  2 C 2.13
24 Mo 0.8131 0.8131 0.4369  2 C 2.13
25 C 0.0000 0.5000 0.5000  6 Mo 2.13
26 C 0.5000 0.0000 0.5000  6 Mo 2.13
27 C 0.5000 0.5000 0.0000  6 Mo 2.13
28 C 0.5000 0.5000 0.5000  6 Mo 2.13

Properties
Formation enthalpy at 0 K: -30 meV per atom



no.,Fermi-level density of states (states/eV/atom)
1,0.50
2,1.32
3,1.01
4,0.94
5,1.29
6,0.51
7,0.87
8,0.94